Entry 1:
# PBE LiTh2NpAs4, relaxed
# DFT formation energy = -0.96 eV per atom
# crystal system = monoclinic
# symmetry = P2/m, No. 10
# density of states at the Fermi level = 1.2879 states/eV/atom
data_LiTh2NpAs4
_chemical_formula_sum 'Li1 Th2 Np1 As4'
_space_group_name_H-M_alt 'P 1'
_space_group_IT_number 1
_space_group_name_Hall 'P 1'
_cell_length_a 7.117
_cell_length_b 4.234
_cell_length_c 7.274
_cell_angle_alpha 90.00
_cell_angle_beta 109.62
_cell_angle_gamma 90.00
loop_
_atom_site_label
_atom_site_fract_x
_atom_site_fract_y
_atom_site_fract_z
Li1 0.000 0.000 0.000
Th1 0.500 0.000 0.500
Th2 0.500 0.500 0.000
Np1 0.000 0.500 0.500
As1 0.239 0.000 0.747
As2 0.244 0.500 0.251
As3 0.756 0.500 0.749
As4 0.761 0.000 0.253


Entry 2:
# PBE LiNp2UAs4, relaxed
# DFT formation energy = -0.57 eV per atom
# crystal system = monoclinic
# symmetry = P2/m, No. 10
# density of states at the Fermi level = 3.1687 states/eV/atom
data_LiNp2UAs4
_chemical_formula_sum 'Li1 Np2 U1 As4'
_space_group_name_H-M_alt 'P 1'
_space_group_IT_number 1
_space_group_name_Hall 'P 1'
_cell_length_a 6.981
_cell_length_b 4.155
_cell_length_c 6.994
_cell_angle_alpha 90.00
_cell_angle_beta 110.34
_cell_angle_gamma 90.00
loop_
_atom_site_label
_atom_site_fract_x
_atom_site_fract_y
_atom_site_fract_z
Li1 0.000 0.000 0.000
Np1 0.000 0.500 0.500
Np2 0.500 0.000 0.500
U1 0.500 0.500 0.000
As1 0.250 0.000 0.754
As2 0.254 0.500 0.251
As3 0.746 0.500 0.749
As4 0.750 0.000 0.246


Entry 3:
# PBE LiNpU2As4, relaxed
# DFT formation energy = -0.60 eV per atom
# crystal system = monoclinic
# symmetry = P2/m, No. 10
# density of states at the Fermi level = 2.3767 states/eV/atom
data_LiNpU2As4
_chemical_formula_sum 'Li1 Np1 U2 As4'
_space_group_name_H-M_alt 'P 1'
_space_group_IT_number 1
_space_group_name_Hall 'P 1'
_cell_length_a 6.910
_cell_length_b 4.053
_cell_length_c 7.156
_cell_angle_alpha 90.00
_cell_angle_beta 108.88
_cell_angle_gamma 90.00
loop_
_atom_site_label
_atom_site_fract_x
_atom_site_fract_y
_atom_site_fract_z
Li1 0.000 0.000 0.000
Np1 0.000 0.500 0.500
U1 0.500 0.000 0.500
U2 0.500 0.500 0.000
As1 0.251 0.000 0.755
As2 0.255 0.500 0.250
As3 0.745 0.500 0.750
As4 0.749 0.000 0.245


Entry 4:
# PBE LiZr2NpAs4, relaxed
# DFT formation energy = -0.88 eV per atom
# crystal system = monoclinic
# symmetry = P2/m, No. 10
# density of states at the Fermi level = 1.2961 states/eV/atom
data_LiZr2NpAs4
_chemical_formula_sum 'Li1 Zr2 Np1 As4'
_space_group_name_H-M_alt 'P 1'
_space_group_IT_number 1
_space_group_name_Hall 'P 1'
_cell_length_a 6.666
_cell_length_b 3.886
_cell_length_c 6.990
_cell_angle_alpha 90.00
_cell_angle_beta 108.11
_cell_angle_gamma 90.00
loop_
_atom_site_label
_atom_site_fract_x
_atom_site_fract_y
_atom_site_fract_z
Li1 0.000 0.000 0.000
Zr1 0.000 0.500 0.500
Zr2 0.500 0.000 0.500
Np1 0.500 0.500 0.000
As1 0.241 0.000 0.742
As2 0.250 0.500 0.257
As3 0.750 0.500 0.743
As4 0.759 0.000 0.258


Entry 5:
# PBE Li5AsO6, relaxed
# crystal system = monoclinic
# symmetry = C2/m, No. 12
# density of states at the Fermi level = 0.3663 states/eV/atom
# ΔE_f (raw) = -1.586 eV/atom
data_Li5AsO6
_chemical_formula_sum 'Li5 As1 O6'
_space_group_name_H-M_alt 'P 1'
_space_group_IT_number 1
_space_group_name_Hall 'P 1'
_cell_length_a 5.089
_cell_length_b 5.089
_cell_length_c 5.073
_cell_angle_alpha 100.70
_cell_angle_beta 100.70
_cell_angle_gamma 119.64
loop_
_atom_site_label
_atom_site_fract_x
_atom_site_fract_y
_atom_site_fract_z
Li1 0.000 0.000 0.000
Li2 0.170 0.830 0.500
Li3 0.321 0.679 0.000
Li4 0.679 0.321 0.000
Li5 0.830 0.170 0.500
As1 0.500 0.500 0.500
O1 0.126 0.424 0.266
O2 0.277 0.277 0.715
O3 0.424 0.126 0.266
O4 0.576 0.874 0.734
O5 0.723 0.723 0.285
O6 0.874 0.576 0.734


Entry 6:
# PBE Li2AsO4, relaxed
# crystal system = orthorhombic
# symmetry = Ccce, No. 68
# density of states at the Fermi level = 0.0128 states/eV/atom
# ΔE_f (raw) = -1.332 eV/atom
data_Li2AsO4
_chemical_formula_sum 'Li8 As4 O16'
_space_group_name_H-M_alt 'P 1'
_space_group_IT_number 1
_space_group_name_Hall 'P 1'
_cell_length_a 6.999
_cell_length_b 6.999
_cell_length_c 9.082
_cell_angle_alpha 90.00
_cell_angle_beta 90.00
_cell_angle_gamma 103.07
loop_
_atom_site_label
_atom_site_fract_x
_atom_site_fract_y
_atom_site_fract_z
Li1 0.038 0.538 0.250
Li2 0.091 0.909 0.750
Li3 0.409 0.591 0.750
Li4 0.462 0.962 0.250
Li5 0.538 0.038 0.750
Li6 0.591 0.409 0.250
Li7 0.909 0.091 0.250
Li8 0.962 0.462 0.750
As1 0.250 0.250 0.044
As2 0.250 0.250 0.544
As3 0.750 0.750 0.456
As4 0.750 0.750 0.956
O1 0.071 0.124 0.425
O2 0.081 0.329 0.148
O3 0.124 0.071 0.925
O4 0.171 0.419 0.648
O5 0.329 0.081 0.648
O6 0.376 0.429 0.925
O7 0.419 0.171 0.148
O8 0.429 0.376 0.425
O9 0.571 0.624 0.575
O10 0.581 0.829 0.852
O11 0.624 0.571 0.075
O12 0.671 0.919 0.352
O13 0.829 0.581 0.352
O14 0.876 0.929 0.075
O15 0.919 0.671 0.852
O16 0.929 0.876 0.575


Entry 7:
# PBE Li3AsO4, relaxed
# crystal system = orthorhombic
# symmetry = Pmn2_1, No. 31
# density of states at the Fermi level = 0.0000 states/eV/atom
# ΔE_f (raw) = -1.918 eV/atom
data_Li3AsO4
_chemical_formula_sum 'Li6 As2 O8'
_space_group_name_H-M_alt 'P 1'
_space_group_IT_number 1
_space_group_name_Hall 'P 1'
_cell_length_a 6.359
_cell_length_b 5.475
_cell_length_c 5.048
_cell_angle_alpha 90.00
_cell_angle_beta 90.00
_cell_angle_gamma 90.00
loop_
_atom_site_label
_atom_site_fract_x
_atom_site_fract_y
_atom_site_fract_z
Li1 0.000 0.163 0.000
Li2 0.248 0.331 0.501
Li3 0.252 0.669 0.001
Li4 0.500 0.837 0.500
Li5 0.748 0.669 0.001
Li6 0.752 0.331 0.501
As1 0.000 0.828 0.508
As2 0.500 0.172 0.008
O1 0.000 0.127 0.398
O2 0.000 0.824 0.850
O3 0.222 0.679 0.396
O4 0.278 0.321 0.896
O5 0.500 0.176 0.350
O6 0.500 0.873 0.898
O7 0.722 0.321 0.896
O8 0.778 0.679 0.396


Entry 8:
# PBE Li3AsO, relaxed
# crystal system = cubic
# symmetry = Pm-3m, No. 221
# density of states at the Fermi level = 0.4640 states/eV/atom
# ΔE_f (raw) = -1.013 eV/atom
data_Li3AsO
_chemical_formula_sum 'Li3 As1 O1'
_space_group_name_H-M_alt 'P 1'
_space_group_IT_number 1
_space_group_name_Hall 'P 1'
_cell_length_a 3.932
_cell_length_b 3.932
_cell_length_c 3.932
_cell_angle_alpha 90.00
_cell_angle_beta 90.00
_cell_angle_gamma 90.00
loop_
_atom_site_label
_atom_site_fract_x
_atom_site_fract_y
_atom_site_fract_z
Li1 0.000 0.000 0.500
Li2 0.000 0.500 0.000
Li3 0.500 0.000 0.000
As1 0.500 0.500 0.500
O1 0.000 0.000 0.000


Entry 9:
# PBE Li8As2O, relaxed
# crystal system = monoclinic
# symmetry = C2/m, No. 12
# ΔE_f (raw) = -0.921 eV/atom
data_Li8As2O
_chemical_formula_sum 'Li8 As2 O1'
_space_group_name_H-M_alt 'P 1'
_space_group_IT_number 1
_space_group_name_Hall 'P 1'
_cell_length_a 7.864
_cell_length_b 7.864
_cell_length_c 5.139
_cell_angle_alpha 109.02
_cell_angle_beta 109.02
_cell_angle_gamma 31.18
loop_
_atom_site_label
_atom_site_fract_x
_atom_site_fract_y
_atom_site_fract_z
Li1 0.000 0.000 0.236
Li2 0.000 0.000 0.764
Li3 0.230 0.230 0.228
Li4 0.396 0.396 0.654
Li5 0.397 0.397 0.142
Li6 0.603 0.603 0.858
Li7 0.604 0.604 0.346
Li8 0.770 0.770 0.772
As1 0.156 0.156 0.655
As2 0.844 0.844 0.345
O1 0.500 0.500 0.000


Entry 10:
# PBE LiAsO3, relaxed
# crystal system = cubic
# symmetry = Pm-3m, No. 221
# density of states at the Fermi level = 0.9123 states/eV/atom
# ΔE_f (raw) = -0.019 eV/atom
data_LiAsO3
_chemical_formula_sum 'Li1 As1 O3'
_space_group_name_H-M_alt 'P 1'
_space_group_IT_number 1
_space_group_name_Hall 'P 1'
_cell_length_a 3.570
_cell_length_b 3.570
_cell_length_c 3.570
_cell_angle_alpha 90.00
_cell_angle_beta 90.00
_cell_angle_gamma 90.00
loop_
_atom_site_label
_atom_site_fract_x
_atom_site_fract_y
_atom_site_fract_z
Li1 0.000 0.000 0.000
As1 0.500 0.500 0.500
O1 0.000 0.000 0.500
O2 0.000 0.500 0.000
O3 0.500 0.000 0.000


Entry 11:
# PBE Li3AsO, relaxed
# crystal system = monoclinic
# symmetry = C2/m, No. 12
# density of states at the Fermi level = 0.1605 states/eV/atom
# ΔE_f (raw) = -1.224 eV/atom
data_Li3AsO
_chemical_formula_sum 'Li6 As2 O2'
_space_group_name_H-M_alt 'P 1'
_space_group_IT_number 1
_space_group_name_Hall 'P 1'
_cell_length_a 5.509
_cell_length_b 5.509
_cell_length_c 7.688
_cell_angle_alpha 107.24
_cell_angle_beta 107.24
_cell_angle_gamma 38.93
loop_
_atom_site_label
_atom_site_fract_x
_atom_site_fract_y
_atom_site_fract_z
Li1 0.070 0.070 0.148
Li2 0.127 0.127 0.691
Li3 0.325 0.325 0.038
Li4 0.675 0.675 0.962
Li5 0.873 0.873 0.309
Li6 0.930 0.930 0.852
As1 0.341 0.341 0.553
As2 0.659 0.659 0.447
O1 0.124 0.124 0.931
O2 0.876 0.876 0.069


Entry 12:
# PBE Li2As3O8, relaxed
# crystal system = monoclinic
# symmetry = C2/m, No. 12
# density of states at the Fermi level = 0.1926 states/eV/atom
# ΔE_f (raw) = -1.327 eV/atom
data_Li2As3O8
_chemical_formula_sum 'Li2 As3 O8'
_space_group_name_H-M_alt 'P 1'
_space_group_IT_number 1
_space_group_name_Hall 'P 1'
_cell_length_a 5.850
_cell_length_b 5.850
_cell_length_c 4.911
_cell_angle_alpha 98.85
_cell_angle_beta 98.85
_cell_angle_gamma 61.18
loop_
_atom_site_label
_atom_site_fract_x
_atom_site_fract_y
_atom_site_fract_z
Li1 0.205 0.205 0.083
Li2 0.795 0.795 0.917
As1 0.234 0.766 0.500
As2 0.500 0.500 0.000
As3 0.766 0.234 0.500
O1 0.106 0.106 0.408
O2 0.175 0.614 0.135
O3 0.386 0.825 0.865
O4 0.396 0.396 0.645
O5 0.604 0.604 0.355
O6 0.614 0.175 0.135
O7 0.825 0.386 0.865
O8 0.894 0.894 0.592


Q: Which formula does entry 6 have?
A: Li2AsO4